An optimized crystal structure of HoZn2Au4, computed with PBE-GGA.

Results
V   129.6 Å³/f.u.
ΔE_f   -0.508 eV/atom

CIF file:
```
data_HoZn2Au4
_chemical_formula_sum 'Ho1 Zn2 Au4'
_cell_length_a 5.6073
_cell_length_b 5.6073
_cell_length_c 5.6073
_cell_angle_alpha 123.37
_cell_angle_beta 103.19
_cell_angle_gamma 102.81
_symmetry_space_group_name_H-M 'P 1'
_symmetry_Int_Tables_number 1
_symmetry_space_group_name_Hall 'P 1'
loop_
_atom_site_label
_atom_site_type_symbol
_atom_site_fract_x
_atom_site_fract_y
_atom_site_fract_z
Ho1 Ho 0.0000 0.0000 0.0000
Zn1 Zn 0.5000 0.2488 0.7488
Zn2 Zn 0.5000 0.7512 0.2512
Au1 Au 0.0011 0.2996 0.7015
Au2 Au 0.4019 0.7004 0.7015
Au3 Au 0.5981 0.2996 0.2985
Au4 Au 0.9989 0.7004 0.2985
```